A plane-wave DFT calculation with GGA+U was carried out for a relaxed structure of Li2FeCuO4.

abc: 5.926 5.932 8.363
angles: 90.00 90.00 90.00
Space group Imma (No. 74)
Asymmetric unit:
Li (0.000, 0.000, 0.000) x4
Li (0.250, 0.250, 0.250) x4
Fe (0.250, 0.250, 0.750) x4
Cu (0.000, 0.000, 0.500) x4
O (0.000, 0.012, 0.746) x8
O (0.236, 0.250, 0.505) x8

Summary:
- DFT total energy: -5.544 eV/atom
- Energy relative to the lowest polymorph listed for this composition: 16 meV/atom
- Magnetization: 0.872 μB per atom